No. 1
An optimized crystal structure of V3SiPd. Source: Alexandria via LeMat-Bulk, functional PBE.

ΔE_f (raw) = 0.691 eV per atom

Unit cell a=4.3671 b=4.3671 c=4.3671 alpha=90.00 beta=90.00 gamma=90.00
Space group Pm-3m (No. 221)
Asymmetric unit:
V (0.0000, 0.0000, 0.5000) [3 per cell]
Si (0.0000, 0.0000, 0.0000) [1 per cell]
Pd (0.5000, 0.5000, 0.5000) [1 per cell]

=====

No. 2
An optimized crystal structure of LiGaPt2. Source: Alexandria via LeMat-Bulk, functional PBE.

uncorrected energy = -4.723 eV/atom

Unit cell a=4.2605 b=4.2605 c=12.5259 alpha=90.00 beta=90.00 gamma=120.00
Space group R3m (No. 160, hexagonal axes)
Asymmetric unit:
Li (0.0000, 0.0000, 0.0000) [3 per cell]
Ga (0.0000, 0.0000, 0.2073) [3 per cell]
Pt (0.0000, 0.0000, 0.5661) [3 per cell]
Pt (0.0000, 0.0000, 0.7843) [3 per cell]

=====

Number 1: DOS(E_F) 5.00 states/eV/f.u.. Number 2: DOS(E_F) 2.04 states/eV/f.u..